(1)
Density functional theory data (PBE) for an optimized crystal structure of Ac3LaNd8.

## Properties
Spin magnetization = 0.0 μB per formula unit
VASP energy = -52.7 eV per cell
Energy of formation = 0.23 eV/atom
Calculated volume = 40.1 Å³/atom

a = 9.1246 Å, b = 9.1246 Å, c = 9.1246 Å
α = 99.19°, β = 96.21°, γ = 137.06°
Atoms (fractional coordinates):
Nd 0.4968 0.2545 0.2422
Ac 0.5000 0.7455 0.2455
La 0.0000 0.0000 0.0000
Nd 0.0122 0.2546 0.7578
Ac 0.0000 0.5000 0.5000
Nd 0.5032 0.7454 0.7577
Nd 0.1765 0.7519 0.9284
Nd 0.1765 0.2481 0.4246
Nd 0.8235 0.2481 0.0716
Nd 0.9878 0.7455 0.2423
Nd 0.8235 0.7519 0.5754
Ac 0.5000 0.2545 0.7545


(2)
Density functional theory data (PBE) for an optimized crystal structure of Ac12La7Nd.

## Properties
Spin magnetization = 0.0 μB per formula unit
VASP energy = -76.8 eV per cell
Energy of formation = 0.59 eV/atom
Calculated volume = 45.8 Å³/atom
Excess energy over the best structure of this formula in the dataset = 0.406 eV/atom

a = 10.5934 Å, b = 10.5934 Å, c = 10.5934 Å
α = 109.47°, β = 109.47°, γ = 109.47°
Atoms (fractional coordinates):
Ac 0.7134 0.2063 0.9197
Ac 0.2866 0.2063 0.4928
La 0.0000 0.5000 0.5000
Ac 0.2866 0.7937 0.0803
Ac 0.0803 0.2866 0.7937
Ac 0.5072 0.7134 0.7937
La 0.5000 0.5000 0.0000
Ac 0.7134 0.7937 0.5072
Ac 0.2063 0.4928 0.2866
Ac 0.2063 0.9197 0.7134
Ac 0.9197 0.7134 0.2063
La 0.0000 0.0000 0.5000
La 0.5000 0.0000 0.0000
Ac 0.4928 0.2866 0.2063
La 0.0000 0.5000 0.0000
Ac 0.7937 0.0803 0.2866
Nd 0.0000 0.0000 0.0000
La 0.5000 0.0000 0.5000
La 0.5000 0.5000 0.5000
Ac 0.7937 0.5072 0.7134